Tb2Ho5TmMg | PBE | optimized geometry

Output
Formation enthalpy at 0 K: 91 kJ/mol of formula units
Size of the total moment: 0.000 μB per cell
DOS(E_F): 49.59 states/eV/cell

Unit cell a=5.371 b=20.002 c=10.381 alpha=90.00 beta=90.00 gamma=90.00
Space group Cmc2_1 (No. 36)
Asymmetric unit:
Tb  0.000  0.115  0.000 (multiplicity 4)
Tb  0.000  0.115  0.426 (multiplicity 4)
Ho  0.000  0.014  0.713 (multiplicity 4)
Ho  0.000  0.289  0.014 (multiplicity 4)
Ho  0.000  0.289  0.412 (multiplicity 4)
Ho  0.000  0.382  0.713 (multiplicity 4)
Ho  0.000  0.500  0.462 (multiplicity 4)
Tm  0.000  0.206  0.713 (multiplicity 4)
Mg  0.000  0.405  0.212 (multiplicity 4)